First-principles (PBE+U) data for a geometry-optimized FeTe2NF structure, as listed in the Alexandria database.

Values from the calculation:
Relative energy among the computed polymorphs (eV per atom): 0.000
Total moment (μB per atom): 0.368
DOS at the Fermi energy (states/eV/atom): 0.616
Electronic total energy (eV for the cell shown): -19.6

a b c (Å): 5.305 5.305 3.428
angles (deg): 90.00 90.00 90.00
Atoms (fractional coordinates):
Fe 0.000 0.000 0.000
Te 0.000 0.500 0.000
Te 0.500 0.000 0.000
N 0.000 0.000 0.500
F 0.500 0.500 0.500